Material: Mg2TlIr2
Method: DFT, GGA-PBE
State: relaxed

a b c (Å): 7.4125 7.4125 3.2405
angles (deg): 90.00 90.00 90.00
Sites, in units of the cell vectors:
Mg 0.1486 0.3514 0.0000
Mg 0.3514 0.8514 0.0000
Mg 0.6486 0.1486 0.0000
Mg 0.8514 0.6486 0.0000
Tl 0.0000 0.0000 0.5000
Tl 0.5000 0.5000 0.5000
Ir 0.1457 0.6457 0.5000
Ir 0.3543 0.1457 0.5000
Ir 0.6457 0.8543 0.5000
Ir 0.8543 0.3543 0.5000

Spin magnetization: 0.000 μB per formula unit
Energy of formation: -6.0 kJ/mol of atoms
Symmetry: P4/mbm (127)
Energy above the lowest structure with this stoichiometry: 0 meV/atom
E: -4.72 eV/atom